A relaxed PmMgPt4 crystal. Source: OQMD, functional PBE-GGA.

abc: 5.3932 5.3932 5.3932
angles: 60.00 60.00 60.00
Last column: nearest neighbours and their distance in Å.
Fractional coordinates of all 6 atoms:
Pm: 0.0000 0.0000 0.0000  12 Pt 3.16, 4 Mg 3.30
Mg: 0.2500 0.2500 0.2500  12 Pt 3.16, 4 Pm 3.30
Pt: 0.1273 0.6242 0.6242  6 Pt 2.68-2.71
Pt: 0.6242 0.1273 0.6242  6 Pt 2.68-2.71
Pt: 0.6242 0.6242 0.1273  6 Pt 2.68-2.71
Pt: 0.6242 0.6242 0.6242  6 Pt 2.68-2.71

Calculated volume in Å³/cell: 111
E_tot in eV for the cell shown: -35.982

=====

A relaxed PmPuMg crystal. Source: OQMD, functional PBE-GGA.

abc: 7.4036 7.4036 7.4036
angles: 90.00 90.00 90.00
Last column: nearest neighbours and their distance in Å.
Fractional coordinates of all 12 atoms:
Pm: 0.0000 0.0000 0.0000  4 Mg 3.21
Pm: 0.0000 0.5000 0.5000  4 Mg 3.21
Pm: 0.5000 0.0000 0.5000  4 Mg 3.21
Pm: 0.5000 0.5000 0.0000  4 Mg 3.21
Pu: 0.0000 0.0000 0.5000  4 Mg 3.21
Pu: 0.0000 0.5000 0.0000  4 Mg 3.21
Pu: 0.5000 0.0000 0.0000  4 Mg 3.21
Pu: 0.5000 0.5000 0.5000  4 Mg 3.21
Mg: 0.2500 0.2500 0.2500  4 Pm 3.21, 4 Pu 3.21
Mg: 0.2500 0.7500 0.7500  4 Pm 3.21, 4 Pu 3.21
Mg: 0.7500 0.2500 0.7500  4 Pm 3.21, 4 Pu 3.21
Mg: 0.7500 0.7500 0.2500  4 Pm 3.21, 4 Pu 3.21

Calculated volume in Å³/cell: 406
E_tot in eV for the cell shown: -75.128
Energy above the most stable polymorph in this dataset in meV/atom: 0.0

=====

A relaxed PmMgRe crystal. Source: OQMD, functional PBE-GGA.

abc: 6.8570 6.8570 6.8570
angles: 90.00 90.00 90.00
Last column: nearest neighbours and their distance in Å.
Fractional coordinates of all 12 atoms:
Pm: 0.0000 0.0000 0.0000  4 Mg 2.97, 4 Re 2.97
Pm: 0.0000 0.5000 0.5000  4 Mg 2.97, 4 Re 2.97
Pm: 0.5000 0.0000 0.5000  4 Mg 2.97, 4 Re 2.97
Pm: 0.5000 0.5000 0.0000  4 Mg 2.97, 4 Re 2.97
Mg: 0.2500 0.2500 0.7500  4 Pm 2.97
Mg: 0.2500 0.7500 0.2500  4 Pm 2.97
Mg: 0.7500 0.2500 0.2500  4 Pm 2.97
Mg: 0.7500 0.7500 0.7500  4 Pm 2.97
Re: 0.2500 0.2500 0.2500  4 Pm 2.97
Re: 0.2500 0.7500 0.7500  4 Pm 2.97
Re: 0.7500 0.2500 0.7500  4 Pm 2.97
Re: 0.7500 0.7500 0.2500  4 Pm 2.97

Calculated volume in Å³/cell: 322
E_tot in eV for the cell shown: -57.965

=====

Q: Which formula does entry 2 have?
A: PmPuMg